Record 1
Entry from the Alexandria database: a relaxed YThFePd crystal (PBE-GGA).

Cell lengths 4.9715, 4.9715, 4.9715 Å; angles 60.00, 60.00, 60.00 degrees
Fractional coordinates of all 4 atoms:
1 Y 0.7500 0.7500 0.7500
2 Pd 0.0000 0.0000 0.0000
3 Th 0.2500 0.2500 0.2500
4 Fe 0.5000 0.5000 0.5000

Values from the calculation:
* size of the total moment: 0.97 μB per formula unit
* formation energy: -281 meV/atom


Record 2
Entry from the Alexandria database: a relaxed Cd4FeHg crystal (PBE-GGA).

Cell lengths 5.7072, 5.7072, 5.7072 Å; angles 60.00, 60.00, 60.00 degrees
Fractional coordinates of all 6 atoms:
1 Cd 0.8736 0.3755 0.3755
2 Cd 0.3755 0.3755 0.8736
3 Cd 0.3755 0.8736 0.3755
4 Cd 0.3755 0.3755 0.3755
5 Fe 0.7500 0.7500 0.7500
6 Hg 0.0000 0.0000 0.0000

Values from the calculation:
* size of the total moment: 2.99 μB per formula unit
* formation energy: 450 meV/atom


Record 3
Entry from the Alexandria database: a relaxed Sb2TeWI crystal (PBE-GGA).

Cell lengths 5.3552, 5.2272, 5.3552 Å; angles 90.00, 90.00, 90.00 degrees
Fractional coordinates of all 5 atoms:
1 I 0.0000 0.5000 0.0000
2 Sb 0.0000 0.0000 0.5000
3 Sb 0.5000 0.0000 0.0000
4 Te 0.5000 0.5000 0.5000
5 W 0.0000 0.0000 0.0000

Values from the calculation:
* size of the total moment: 0.00 μB per formula unit
* energy relative to the elements, uncorrected: 3.23 eV/f.u.
* distance to the lowest polymorph of the same formula: 225 meV per atom